VASP calculation (PBE) on a geometry-optimized PPbSe structure.

Lattice parameters (Å, degrees): 6.9154 6.9154 6.9154 90.00 90.00 90.00
With the nearest neighbours (Å) after each atom.
Space group F-43m (No. 216)
Inequivalent atoms, fractional coordinates:
P 0.0000 0.0000 0.0000  4 Pb 2.99
Pb 0.2500 0.2500 0.7500  4 Se 2.99, 4 P 2.99
Se 0.0000 0.0000 0.5000  4 Pb 2.99

## Properties
**Raw total energy**: -3.65 eV/atom
**Magnetic moment**: 0.00 μB per atom
**Energy relative to the elements, uncorrected**: 547 meV/atom


VASP calculation (PBE) on a geometry-optimized Pm2NdY3Tm6 structure.

Lattice parameters (Å, degrees): 6.1652 10.6693 11.7258 90.00 100.07 90.00
With the nearest neighbours (Å) after each atom.
Space group C2/m (No. 12)
Inequivalent atoms, fractional coordinates:
Pm 0.0000 0.1667 0.0000  3 Nd 3.56, 6 Tm 3.56, 3 Pm 3.56
Nd 0.0000 0.5000 0.0000  6 Pm 3.56, 6 Tm 3.56
Y 0.0000 0.0000 0.5000  6 Tm 3.52-3.53, 6 Y 3.56
Y 0.0000 0.3333 0.5000  6 Tm 3.52-3.53, 6 Y 3.56
Tm 0.2485 0.1667 0.7482  3 Y 3.52-3.53, 6 Tm 3.56, 2 Pm 3.56, 1 Nd 3.56
Tm 0.2488 0.5000 0.7483  3 Y 3.53, 6 Tm 3.56, 1 Nd 3.56, 2 Pm 3.56

## Properties
**Raw total energy**: -5.02 eV/atom
**Magnetic moment**: 0.00 μB per atom
**ΔE_f**: 24.8 meV/atom


VASP calculation (PBE) on a geometry-optimized SmAuI6 structure.

Lattice parameters (Å, degrees): 6.3352 7.9504 8.7094 69.08 73.62 85.44
With the nearest neighbours (Å) after each atom.
Space group P-1 (No. 2)
Inequivalent atoms, fractional coordinates:
Sm 0.0000 0.0000 0.0000  6 I 2.98-3.17
Au 0.5000 0.5000 0.0000  4 I 2.68-2.74
I 0.0285 0.8116 0.3573  1 Sm 2.98
I 0.2748 0.3683 0.8387  1 Au 2.74
I 0.4132 0.8310 0.8075  1 Au 2.68

## Properties
**Raw total energy**: -2.81 eV/atom
**Magnetic moment**: 0.00 μB per atom
**Energy relative to the elements, uncorrected**: -648 meV/atom


VASP calculation (PBE) on a geometry-optimized Pm11Ag4Hg9 structure.

Lattice parameters (Å, degrees): 14.9457 22.4313 3.8122 90.00 90.00 90.00
With the nearest neighbours (Å) after each atom.
Space group Cmmm (No. 65)
Inequivalent atoms, fractional coordinates:
Pm 0.0000 0.0000 0.0000  8 Hg 3.26
Pm 0.0000 0.1694 0.0000  8 Hg 3.28-3.48, 2 Pm 3.55
Pm 0.0000 0.3629 0.0000  4 Ag 3.08, 4 Hg 3.34
Pm 0.2229 0.5000 0.0000  4 Ag 3.08, 4 Hg 3.32
Pm 0.2375 0.1734 0.0000  2 Ag 3.08, 6 Hg 3.27-3.39
Ag 0.1495 0.4038 0.5000  6 Pm 3.08, 3 Hg 3.11-3.25
Hg 0.0000 0.5000 0.5000  4 Ag 3.11
Hg 0.1082 0.2643 0.5000  1 Ag 3.19, 1 Hg 3.23, 8 Pm 3.28-3.39
Hg 0.1353 0.0763 0.5000  1 Ag 3.25, 8 Pm 3.26-3.48, 1 Hg 3.42

## Properties
**Raw total energy**: -3.16 eV/atom
**Magnetic moment**: 0.05 μB per atom
**ΔE_f**: -392.3 meV/atom


VASP calculation (PBE) on a geometry-optimized UTlFeS4 structure.

Lattice parameters (Å, degrees): 6.4808 5.7570 8.9985 90.00 107.01 90.00
With the nearest neighbours (Å) after each atom.
Space group P2_1/m (No. 11)
Inequivalent atoms, fractional coordinates:
U 0.2406 0.2500 0.4471  6 S 2.64-2.78
Tl 0.2330 0.2500 0.9480  6 S 3.17-3.48
Fe 0.2627 0.7500 0.6611  4 S 2.19-2.23
S 0.0602 0.7500 0.8237  1 Fe 2.23
S 0.0674 0.7500 0.4115  1 Fe 2.23
S 0.4843 0.5136 0.3032  1 Fe 2.19

## Properties
**Raw total energy**: -6.31 eV/atom
**Magnetic moment**: 0.26 μB per atom
**Energy relative to the elements, uncorrected**: -796 meV/atom


VASP calculation (PBE) on a geometry-optimized Ac2CuHgN structure.

Lattice parameters (Å, degrees): 7.5182 4.0839 8.7216 90.00 109.37 90.00
With the nearest neighbours (Å) after each atom.
Space group P2_1/m (No. 11)
Inequivalent atoms, fractional coordinates:
Ac 0.1987 0.2500 0.3885  2 N 2.71
Ac 0.2031 0.2500 0.9628  1 N 2.50
Cu 0.4303 0.7500 0.2449  1 N 2.02
Hg 0.3290 0.7500 0.7105  2 Cu 2.67
N 0.1463 0.7500 0.1737  1 Cu 2.02

## Properties
**Raw total energy**: -4.73 eV/atom
**Magnetic moment**: 0.00 μB per atom
**Energy relative to the elements, uncorrected**: -537 meV/atom


VASP calculation (PBE) on a geometry-optimized SrAlMo4 structure.

Lattice parameters (Å, degrees): 7.7008 7.7008 7.7008 90.00 90.00 90.00
With the nearest neighbours (Å) after each atom.
Space group F-43m (No. 216)
Inequivalent atoms, fractional coordinates:
Sr 0.0000 0.0000 0.0000  12 Mo 3.19, 4 Al 3.33
Al 0.2500 0.2500 0.7500  12 Mo 3.19, 4 Sr 3.33
Mo 0.1252 0.1252 0.3748  6 Mo 2.72-2.73

## Properties
**Raw total energy**: -7.57 eV/atom
**Magnetic moment**: 0.00 μB per atom
**ΔE_f**: 559.2 meV/atom


VASP calculation (PBE) on a geometry-optimized Ba2BeAgS structure.

Lattice parameters (Å, degrees): 6.3502 6.3502 4.6953 90.00 90.00 90.00
With the nearest neighbours (Å) after each atom.
Space group P4/mmm (No. 123)
Inequivalent atoms, fractional coordinates:
Ba 0.0000 0.5000 0.0000  2 Ag 3.18
Be 0.0000 0.0000 0.5000  8 Ba 3.95
Ag 0.5000 0.5000 0.0000  2 S 2.35
S 0.5000 0.5000 0.5000  2 Ag 2.35

## Properties
**Raw total energy**: -2.69 eV/atom
**Magnetic moment**: 0.09 μB per atom
**Energy relative to the elements, uncorrected**: 223 meV/atom